A plane-wave DFT calculation with GGA-PBE was carried out for a relaxed Ac3Nd2Ho3 crystal. Values from VASP.

```
&SYSTEM
  ibrav = 0, nat = 16, ntyp = 3
/
ATOMIC_SPECIES
Nd 144.24 Nd.upf
Ac 227.00 Ac.upf
Ho 164.93 Ho.upf
ATOMIC_POSITIONS crystal
Nd 0.000 0.333 0.333
Nd 0.500 0.333 0.333
Nd 0.000 0.667 0.667
Nd 0.500 0.667 0.667
Ac 0.250 0.233 0.000
Ac 0.750 0.767 0.000
Ac 0.250 0.767 0.233
Ac 0.750 0.233 0.767
Ac 0.750 0.000 0.233
Ac 0.250 0.000 0.767
Ho 0.250 0.000 0.413
Ho 0.250 0.413 0.587
Ho 0.750 0.000 0.587
Ho 0.750 0.587 0.413
Ho 0.750 0.413 0.000
Ho 0.250 0.587 0.000
CELL_PARAMETERS angstrom
6.793 0.000 0.000
0.000 8.795 5.077
0.000 0.001 10.156
```

Values from the calculation:
energy of formation = 0.18 eV per atom
energy = -4.265 eV/atom
density = 8.01 g/cm3



A plane-wave DFT calculation with GGA-PBE was carried out for a relaxed DyEr3S3 crystal. Values from VASP.

```
&SYSTEM
  ibrav = 0, nat = 28, ntyp = 3
/
ATOMIC_SPECIES
Er 167.26 Er.upf
S 32.06 S.upf
Dy 162.50 Dy.upf
ATOMIC_POSITIONS crystal
Er 0.500 0.873 0.620
Er 0.500 0.380 0.127
Er 0.500 0.127 0.380
Er 0.000 0.120 0.627
Er 0.000 0.880 0.373
Er 0.500 0.127 0.873
Er 0.000 0.627 0.627
Er 0.000 0.373 0.880
Er 0.500 0.873 0.127
Er 0.000 0.627 0.120
Er 0.500 0.620 0.873
Er 0.000 0.373 0.373
S 0.000 0.126 0.375
S 0.500 0.626 0.125
S 0.000 0.873 0.127
S 0.500 0.125 0.626
S 0.000 0.375 0.126
S 0.000 0.625 0.874
S 0.500 0.875 0.374
S 0.500 0.627 0.627
S 0.500 0.373 0.373
S 0.000 0.127 0.873
S 0.500 0.374 0.875
S 0.000 0.874 0.625
Dy 0.500 0.379 0.621
Dy 0.500 0.621 0.379
Dy 0.000 0.879 0.879
Dy 0.000 0.121 0.121
CELL_PARAMETERS angstrom
5.404 0.000 0.000
0.000 10.874 0.000
0.000 0.000 10.874
```

Values from the calculation:
energy = -6.052 eV/atom
density = 7.90 g/cm3



A plane-wave DFT calculation with GGA-PBE was carried out for a relaxed Pm6TlIn crystal. Values from VASP.

```
&SYSTEM
  ibrav = 0, nat = 8, ntyp = 3
/
ATOMIC_SPECIES
Pm 145.00 Pm.upf
In 114.82 In.upf
Tl 204.38 Tl.upf
ATOMIC_POSITIONS crystal
Pm 0.500 0.500 0.000
Pm 0.000 0.500 0.248
Pm 0.500 0.000 0.248
Pm 0.500 0.000 0.752
Pm 0.500 0.500 0.500
Pm 0.000 0.500 0.752
In 0.000 0.000 0.000
Tl 0.000 0.000 0.500
CELL_PARAMETERS angstrom
-3.610 -3.139 1.315
-1.146 -0.684 -4.778
6.410 -7.563 -0.456
```

Values from the calculation:
energy of formation = -0.24 eV per atom
energy = -4.439 eV/atom
density = 8.08 g/cm3



A plane-wave DFT calculation with GGA-PBE was carried out for a relaxed Rb3Sn2GeBr9 crystal. Values from VASP.

```
&SYSTEM
  ibrav = 0, nat = 15, ntyp = 4
/
ATOMIC_SPECIES
Rb 85.47 Rb.upf
Sn 118.71 Sn.upf
Br 79.90 Br.upf
Ge 72.64 Ge.upf
ATOMIC_POSITIONS crystal
Rb 0.667 0.333 0.347
Rb 0.333 0.667 0.653
Rb 0.000 0.000 0.000
Sn 0.667 0.333 0.827
Sn 0.333 0.667 0.173
Br 0.162 0.838 0.340
Br 0.162 0.324 0.340
Br 0.838 0.162 0.660
Br 0.000 0.500 0.000
Br 0.676 0.838 0.340
Br 0.500 0.500 0.000
Br 0.500 0.000 0.000
Br 0.324 0.162 0.660
Br 0.838 0.676 0.660
Ge 0.000 0.000 0.500
CELL_PARAMETERS angstrom
-1.865 -3.678 7.013
3.993 -4.079 -5.797
8.713 3.000 3.890
```

Values from the calculation:
energy = -3.167 eV/atom
density = 3.72 g/cm3



A plane-wave DFT calculation with GGA-PBE was carried out for a relaxed NaDy2HoTl4 crystal. Values from VASP.

```
&SYSTEM
  ibrav = 0, nat = 8, ntyp = 4
/
ATOMIC_SPECIES
Tl 204.38 Tl.upf
Na 22.99 Na.upf
Dy 162.50 Dy.upf
Ho 164.93 Ho.upf
ATOMIC_POSITIONS crystal
Tl 0.625 0.625 0.126
Tl 0.125 0.125 0.625
Tl 0.875 0.875 0.375
Tl 0.375 0.375 0.874
Na 0.500 0.500 0.500
Dy 0.754 0.754 0.739
Dy 0.246 0.246 0.261
Ho 0.000 0.000 0.000
CELL_PARAMETERS angstrom
-4.366 2.764 -1.259
-4.629 -1.115 2.371
-1.146 6.368 6.723
```

Values from the calculation:
energy of formation = -0.28 eV per atom
energy = -3.354 eV/atom
density = 10.24 g/cm3



A plane-wave DFT calculation with GGA-PBE was carried out for a relaxed HfReSN2 crystal. Values from VASP.

```
&SYSTEM
  ibrav = 0, nat = 5, ntyp = 4
/
ATOMIC_SPECIES
Re 186.21 Re.upf
Hf 178.49 Hf.upf
S 32.06 S.upf
N 14.01 N.upf
ATOMIC_POSITIONS crystal
Re 0.500 0.500 0.500
Hf 0.000 0.000 0.000
S 0.000 0.000 0.500
N 0.500 0.000 0.000
N 0.000 0.500 0.000
CELL_PARAMETERS angstrom
-0.021 -3.712 1.608
3.168 0.985 2.315
-3.243 1.639 3.741
```

Values from the calculation:
energy above the lowest structure with this stoichiometry = 834 meV per atom
energy = -7.624 eV/atom
density = 8.26 g/cm3